Record 1
Material: HfCuNi2
Method: DFT, PBE-GGA
State: optimized geometry

a b c (Å): 4.2478 4.2478 4.2478
angles (deg): 60.00 60.00 60.00
Positions (direct):
Ni  0.7500  0.7500  0.7500
Ni  0.2500  0.2500  0.2500
Cu  0.5000  0.5000  0.5000
Hf  0.0000  0.0000  0.0000

- V (A^3/atom) = 13.55
- formation energy (kJ/mol of atoms) = -31.0
- magnetic moment (μB per cell) = 0.00
- space group = Fm-3m, No. 225
- N(E_F) (states/eV per atom) = 0.7611
- uncorrected energy (eV for the cell shown) = -26.90


Record 2
Material: CoRu2Br
Method: DFT, PBE-GGA
State: optimized geometry

a b c (Å): 4.3309 4.3309 4.3309
angles (deg): 60.00 60.00 60.00
Positions (direct):
Ru  0.7500  0.7500  0.7500
Ru  0.2500  0.2500  0.2500
Br  0.5000  0.5000  0.5000
Co  0.0000  0.0000  0.0000

- V (A^3/atom) = 14.36
- magnetic moment (μB per cell) = 2.23
- space group = Fm-3m, No. 225
- excess energy over the best structure of this formula in the dataset (eV/atom) = 0.426
- energy relative to the elements, uncorrected (eV per formula unit) = 3.889
- N(E_F) (states/eV per atom) = 1.5049
- uncorrected energy (eV for the cell shown) = -23.44


Record 3
Material: SrZr2Ni
Method: DFT, PBE-GGA
State: optimized geometry

a b c (Å): 3.3370 3.3369 8.7444
angles (deg): 90.00 90.00 90.00
Positions (direct):
Zr  0.0000  0.0000  0.0604
Zr  0.5000  0.5000  0.2962
Sr  0.5000  0.5000  0.7015
Ni  0.0000  0.0000  0.4419

- V (A^3/atom) = 24.34
- formation energy (kJ/mol of atoms) = 1.8
- magnetic moment (μB per cell) = 0.00
- space group = P4mm, No. 99
- excess energy over the best structure of this formula in the dataset (eV/atom) = 0.000
- N(E_F) (states/eV per atom) = 0.9667
- uncorrected energy (eV for the cell shown) = -24.49


Record 4
Material: Pr6Bi2PbSe3
Method: DFT, PBE-GGA
State: optimized geometry

a b c (Å): 4.4683 8.8989 9.9561
angles (deg): 102.48 102.97 90.00
Positions (direct):
Pr  0.9963  0.2550  0.9926
Pr  0.3316  0.9271  0.6632
Pr  0.6684  0.0729  0.3368
Pr  0.6628  0.5931  0.3255
Pr  0.3372  0.4069  0.6745
Pr  0.0037  0.7450  0.0074
Pb  0.5000  0.0000  0.0000
Se  0.1675  0.8334  0.3350
Se  0.5000  0.5000  0.0000
Se  0.8325  0.1666  0.6650
Bi  0.1669  0.3342  0.3339
Bi  0.8331  0.6658  0.6661

- V (A^3/atom) = 31.35
- magnetic moment (μB per cell) = 0.00
- space group = C2/m, No. 12
- energy relative to the elements, uncorrected (eV per formula unit) = -15.853
- N(E_F) (states/eV per atom) = 0.4165
- uncorrected energy (eV for the cell shown) = -66.45


Record 5
Material: Cu2TeI
Method: DFT, PBE-GGA
State: optimized geometry

a b c (Å): 4.3122 4.3122 7.2150
angles (deg): 72.61 72.61 60.00
Positions (direct):
Te  0.5000  0.5000  0.5000
I  0.0000  0.0000  0.0000
Cu  0.8737  0.8737  0.3790
Cu  0.1263  0.1263  0.6210

- V (A^3/atom) = 27.26
- magnetic moment (μB per cell) = 0.00
- space group = R-3m, No. 166
- excess energy over the best structure of this formula in the dataset (eV/atom) = 0.117
- energy relative to the elements, uncorrected (eV per formula unit) = 0.154
- N(E_F) (states/eV per atom) = 0.7014
- uncorrected energy (eV for the cell shown) = -12.73


Record 6
Material: Y2HPdPt
Method: DFT, PBE-GGA
State: optimized geometry

a b c (Å): 4.9432 4.9432 3.6828
angles (deg): 90.00 90.00 90.00
Positions (direct):
Y  0.5000  0.0000  0.0000
Y  0.0000  0.5000  0.0000
Pt  0.0000  0.0000  0.5000
Pd  0.5000  0.5000  0.5000
H  0.0000  0.0000  0.0000

- V (A^3/atom) = 18.00
- magnetic moment (μB per cell) = 0.00
- space group = P4/mmm, No. 123
- excess energy over the best structure of this formula in the dataset (eV/atom) = 0.033
- N(E_F) (states/eV per atom) = 0.4321
- uncorrected energy (eV for the cell shown) = -31.84


Record 7
Material: RbBa2Co
Method: DFT, PBE-GGA
State: optimized geometry

a b c (Å): 6.0288 6.0288 6.0288
angles (deg): 60.00 60.00 60.00
Positions (direct):
Co  0.0000  0.0000  0.0000
Ba  0.2500  0.2500  0.2500
Ba  0.7500  0.7500  0.7500
Rb  0.5000  0.5000  0.5000

- V (A^3/atom) = 38.74
- formation energy (kJ/mol of atoms) = 70.7
- magnetic moment (μB per cell) = 0.00
- space group = Fm-3m, No. 225
- excess energy over the best structure of this formula in the dataset (eV/atom) = 0.255
- N(E_F) (states/eV per atom) = 0.4743
- uncorrected energy (eV for the cell shown) = -8.99


Record 8
Material: BSe2I
Method: DFT, PBE-GGA
State: optimized geometry

a b c (Å): 8.5440 8.5440 8.5440
angles (deg): 23.73 23.73 23.73
Positions (direct):
I  0.0000  0.0000  0.0000
B  0.5000  0.5000  0.5000
Se  0.1177  0.1177  0.1177
Se  0.8823  0.8823  0.8823

- V (A^3/atom) = 22.18
- magnetic moment (μB per cell) = 0.00
- space group = R-3m, No. 166
- excess energy over the best structure of this formula in the dataset (eV/atom) = 0.586
- energy relative to the elements, uncorrected (eV per formula unit) = 2.333
- N(E_F) (states/eV per atom) = 0.4568
- uncorrected energy (eV for the cell shown) = -12.86